YTm12Sc2 | GGA-PBE | relaxed

POSCAR file:
```
YTm12Sc2
1.0
3.512 0.000 0.000
0.000 4.758 0.000
-1.749 0.000 27.183
Y Tm Sc
1 12 2
direct
0.000 0.000 0.000
0.067 0.000 0.131
0.193 0.000 0.383
0.276 0.500 0.553
0.338 0.500 0.679
0.400 0.500 0.804
0.465 0.500 0.933
0.535 0.500 0.067
0.600 0.500 0.196
0.662 0.500 0.321
0.724 0.500 0.447
0.807 0.000 0.617
0.933 0.000 0.869
0.131 0.000 0.258
0.869 0.000 0.742
```

Results
The space group is P2/m, No. 10. The calculation puts the formation energy at 0.124 eV per atom. The total moment is 0.00 μB/f.u.


Y7Tm12Sc | GGA-PBE | relaxed

POSCAR file:
```
Y7Tm12Sc
1.0
-5.889 5.889 5.889
5.889 -5.889 5.889
5.889 5.889 -5.889
Y Tm Sc
7 12 1
direct
0.000 0.000 0.500
0.000 0.500 0.000
0.000 0.500 0.500
0.500 0.000 0.000
0.500 0.000 0.500
0.500 0.500 0.000
0.500 0.500 0.500
0.096 0.742 0.354
0.258 0.354 0.612
0.258 0.646 0.904
0.354 0.096 0.742
0.354 0.612 0.258
0.388 0.742 0.646
0.612 0.258 0.354
0.646 0.388 0.742
0.646 0.904 0.258
0.742 0.354 0.096
0.742 0.646 0.388
0.904 0.258 0.646
0.000 0.000 0.000
```

Results
The space group is Im-3, No. 204. The calculation puts the formation energy at 0.908 eV per atom. The total moment is 1.64 μB/f.u.


Y7Tm3Sc | GGA-PBE | relaxed

POSCAR file:
```
Y7Tm3Sc
1.0
7.003 0.000 0.000
-3.502 6.065 0.000
0.000 0.000 8.499
Y Tm Sc
7 3 1
direct
0.000 0.000 0.000
0.165 0.331 0.334
0.165 0.835 0.334
0.502 0.004 0.000
0.502 0.498 0.000
0.669 0.835 0.334
0.996 0.498 0.000
0.336 0.168 0.662
0.832 0.168 0.662
0.832 0.664 0.662
0.667 0.333 0.330
```

Results
The space group is P3m1, No. 156. The calculation puts the formation energy at 0.209 eV per atom. The total moment is 0.00 μB/f.u.